## Li3Ca2Ag4 (GGA-PBE)

Data for an optimized crystal structure of Li3Ca2Ag4.

ΔE_f = -0.232 eV per atom
space-group type = Cmce, No. 64

Cell: 5.9459 7.9729 8.4828 Å, 90.00 110.52 90.00°
With the nearest neighbours (Å) after each atom.
Sites, in units of the cell vectors:
Li (0.0000, 0.0000, 0.0000)  6 Ag 2.65-2.82
Li (0.5000, 0.5000, 0.0000)  6 Ag 2.65-2.82
Li (0.5259, 0.7500, 0.5518)  5 Ag 2.63-2.84
Li (0.9741, 0.2500, 0.4482)  5 Ag 2.63-2.84
Li (0.4741, 0.2500, 0.4482)  5 Ag 2.63-2.84
Li (0.0259, 0.7500, 0.5518)  5 Ag 2.63-2.84
Ca (0.1101, 0.5897, 0.2202)  8 Ag 3.20-3.50, 4 Li 3.28-3.52
Ca (0.8899, 0.4103, 0.7798)  8 Ag 3.20-3.50, 4 Li 3.28-3.52
Ca (0.3899, 0.0897, 0.7798)  8 Ag 3.20-3.50, 4 Li 3.28-3.52
Ca (0.6101, 0.9103, 0.2202)  8 Ag 3.20-3.50, 4 Li 3.28-3.52
Ag (0.6917, 0.7500, 0.8834)  3 Li 2.63-2.65
Ag (0.8083, 0.2500, 0.1166)  3 Li 2.63-2.65
Ag (0.3083, 0.2500, 0.1166)  3 Li 2.63-2.65
Ag (0.1917, 0.7500, 0.8834)  3 Li 2.63-2.65
Ag (0.1769, 0.9801, 0.3539)  5 Li 2.72-2.84
Ag (0.8231, 0.0199, 0.6461)  5 Li 2.72-2.84
Ag (0.3231, 0.4801, 0.6461)  5 Li 2.72-2.84
Ag (0.6769, 0.5199, 0.3539)  5 Li 2.72-2.84